# CoReP2 PBE optimized geometry
# Energy above the lowest structure with this stoichiometry ... 0.453 eV per atom
# Total moment ... 0.0 μB/cell
data_CoReP2
_chemical_formula_sum 'Co1 Re1 P2'
_cell_length_a 3.226
_cell_length_b 3.817
_cell_length_c 4.490
_cell_angle_alpha 90.00
_cell_angle_beta 96.07
_cell_angle_gamma 90.00
_symmetry_space_group_name_H-M 'P 1'
_symmetry_Int_Tables_number 1
_symmetry_space_group_name_Hall 'P 1'
loop_
_atom_site_label
_atom_site_type_symbol
_atom_site_fract_x
_atom_site_fract_y
_atom_site_fract_z
_atom_site_occupancy
Co1 Co 0.000 0.000 0.000 1
Re1 Re 0.500 0.000 0.500 1
P1 P 0.307 0.500 0.186 1
P2 P 0.693 0.500 0.814 1